Density functional theory data (GGA-PBE) for an optimized crystal structure of Li2TmThSe4.

Output
- D(E_F) (states/eV per cell) = 3.36
- raw formation energy (eV per atom) = -1.568

Geometry as extended XYZ:
```
8
Lattice="-2.656 -2.248 -2.041 3.799 0.854 -5.885 2.216 -5.689 3.382" Properties=species:S:1:pos:R:3 pbc="T T T"
Li -0.220 -3.968 0.671
Li 3.008 -2.418 -1.251
Tm 0.571 -0.697 -3.963
Th 0.000 0.000 0.000
Se 0.271 -2.409 -1.686
Se 3.088 -4.674 -2.857
Se 2.621 -4.016 1.012
Se 3.394 -0.819 -3.515
```

=====

Density functional theory data (GGA-PBE) for an optimized crystal structure of Li4ThU3Se8.

Output
- D(E_F) (states/eV per cell) = 11.81
- raw formation energy (eV per atom) = -1.257

Geometry as extended XYZ:
```
16
Lattice="-6.981 1.997 3.543 -3.980 -5.047 -4.998 6.139 -2.784 4.454" Properties=species:S:1:pos:R:3 pbc="T T T"
Li -3.491 0.999 1.771
Li -0.421 -0.393 3.998
Li 0.000 0.000 0.000
Li 3.070 -1.392 2.227
Th -1.990 -2.524 -2.499
U -5.481 -1.525 -0.728
U -2.411 -2.917 1.499
U 1.080 -3.915 -0.272
Se -4.784 -3.368 -2.876
Se -1.684 -4.774 -0.627
Se 0.349 -2.098 1.870
Se -8.240 -2.380 -1.123
Se 3.417 -3.454 4.121
Se -5.171 -3.736 1.128
Se -3.139 -1.060 3.625
Se -0.038 -2.466 5.875
```

=====

- What is the D(E_F) in the second record?
  11.81 states/eV per cell

=====

- Which of these has the lowest D(E_F)?
  Li2TmThSe4